{
  "formula": "Ho2TmCo2B2O3",
  "functional": "PBE with a Hubbard U",
  "state": "relaxed",
  "lattice": [[-1.693, 1.693, 10.568], [1.693, -1.693, 10.568], [1.693, 1.693, -10.568]],
  "species": ["Ho", "Ho", "Tm", "Co", "Co", "B", "B", "O", "O", "O"],
  "fractional_positions": [[0.137, 0.137, 0.000], [0.863, 0.863, 0.000], [0.500, 0.500, 0.000], [0.250, 0.750, 0.500], [0.750, 0.250, 0.500], [0.291, 0.291, 0.000], [0.709, 0.709, 0.000], [0.000, 0.000, 0.000], [0.398, 0.398, 0.000], [0.602, 0.602, 0.000]],
  "spacegroup": "I4/mmm (139)",
  "magmom_total_mub_per_cell": 0.0,
  "final_energy_ev_per_atom": -6.8720
}